Density functional theory data (GGA+U) for Li4Fe3Sb5O16 after structural relaxation.

Cell: 6.1630 6.2078 10.3478 Å, 90.41 90.42 117.95°
With the nearest neighbours (Å) after each atom.
Atoms (fractional coordinates):
Li (0.0000, 0.0000, 0.0000)  4 O 1.86-2.05
Li (0.0006, 0.0109, 0.5127)  4 O 1.88-2.02
Li (0.3265, 0.6596, 0.8952)  3 O 1.99-2.16
Li (0.6494, 0.3172, 0.4041)  3 O 1.99-2.14
Fe (0.6647, 0.8261, 0.2232)  6 O 2.12-2.22
Fe (0.8364, 0.1718, 0.7265)  6 O 1.99-2.05
Fe (0.8396, 0.6683, 0.7248)  6 O 2.15-2.23
Sb (0.1643, 0.8236, 0.2270)  6 O 2.00-2.07
Sb (0.1722, 0.3300, 0.2269)  6 O 1.96-2.09
Sb (0.3428, 0.1790, 0.7282)  6 O 2.02-2.06
Sb (0.3672, 0.6984, 0.5222)  2 O 2.05-2.10
Sb (0.7004, 0.3495, 0.9879)  5 O 2.08-2.32
O (0.0140, 0.0060, 0.3308)  1 Li 1.88, 2 Sb 2.07-2.09
O (0.0139, 0.5073, 0.3292)  2 Sb 2.04-2.07, 1 Li 2.14
O (0.0170, 0.0212, 0.8211)  1 Li 1.86, 1 Fe 2.01, 1 Sb 2.03
O (0.1476, 0.3080, 0.6248)  1 Li 1.99, 1 Fe 2.01, 1 Sb 2.03
O (0.1847, 0.8693, 0.6135)  1 Li 2.02, 2 Sb 2.06-2.10, 1 Fe 2.23
O (0.2998, 0.1318, 0.1216)  2 Sb 2.02-2.05, 1 Li 2.05
O (0.3124, 0.6482, 0.1182)  2 Sb 2.05-2.09, 1 Fe 2.19
O (0.4633, 0.9540, 0.3434)  1 Sb 2.01, 1 Li 2.08, 1 Fe 2.16
O (0.4755, 0.4888, 0.3296)  1 Sb 1.96, 1 Li 1.99, 1 Fe 2.17
O (0.5055, 0.4778, 0.8431)  1 Li 1.99, 1 Sb 2.02, 1 Fe 2.22
O (0.5250, 0.0354, 0.8360)  1 Fe 2.05, 1 Sb 2.06, 1 Li 2.16
O (0.6550, 0.3158, 0.6229)  1 Sb 2.03, 2 Fe 2.03-2.19, 1 Li 2.26
O (0.7023, 0.8748, 0.6149)  1 Li 1.95, 2 Fe 1.99-2.16, 1 Sb 2.05
O (0.8722, 0.7051, 0.1089)  1 Li 1.98, 1 Sb 2.00, 1 Fe 2.12
O (0.8735, 0.1685, 0.1150)  1 Li 1.97, 1 Sb 1.99
O (0.9652, 0.4671, 0.8450)  2 Fe 2.02-2.15, 1 Li 2.03, 1 Sb 2.08

**DFT total energy**: -166.7 eV/cell